Entry 1:
Density functional theory data (PBEsol) for a relaxed KAu2Cl crystal.

Cell and atoms, written as extended XYZ:
```
4
Lattice="-0.589 1.637 -2.635 -4.672 1.457 0.057 -0.339 6.789 2.402" Properties=species:S:1:pos:R:3 pbc="T T T"
K -1.567 2.659 0.110
Au -4.946 7.737 2.128
Au -3.452 7.739 -0.096
Cl -3.446 4.936 0.053
```

Properties
The value obtained for the uncorrected formation energy is -0.33 eV per atom. The excess energy over the best structure of this formula in the dataset comes out at 168 meV/atom. The value obtained for the calculated density is 7.87 g/cm³.

***

Entry 2:
Density functional theory data (PBEsol) for a relaxed FeCo6Mo crystal.

Cell and atoms, written as extended XYZ:
```
32
Lattice="6.078 -0.001 0.000 -2.036 5.727 0.000 0.000 0.000 9.926" Properties=species:S:1:pos:R:3 pbc="T T T"
Co -0.023 4.306 7.419
Co 4.047 3.601 8.674
Co -0.005 2.125 8.674
Co 4.065 1.420 7.419
Co 2.004 0.707 8.674
Co 2.039 5.019 8.674
Co 2.021 2.863 4.963
Co -0.030 2.136 6.185
Co 2.023 0.686 6.185
Co -0.023 4.306 2.507
Co 4.073 3.589 3.740
Co -0.030 2.136 3.740
Co 4.065 1.420 2.507
Co 2.023 0.686 3.740
Co 2.019 5.039 3.740
Co 2.021 2.863 0.000
Co -0.005 2.125 1.251
Co 2.004 0.707 1.251
Co 0.000 0.000 4.963
Co 2.019 5.039 6.185
Co 4.073 3.589 6.185
Co 0.000 0.000 0.000
Co 2.039 5.019 1.251
Co 4.047 3.601 1.251
Fe 0.017 4.278 4.963
Fe 4.026 1.448 4.963
Fe 0.000 0.000 7.422
Fe 0.000 0.000 2.503
Mo 0.023 4.274 0.000
Mo 4.020 1.452 0.000
Mo 2.021 2.863 7.427
Mo 2.021 2.863 2.498
```

Properties
The value obtained for the calculated density is 9.72 g/cm³. The formation energy comes out at 12.4 meV/atom.

***

Entry 3:
Density functional theory data (PBEsol) for a relaxed Hg2TeH2 crystal.

Cell and atoms, written as extended XYZ:
```
5
Lattice="5.028 -0.022 0.031 -2.425 4.404 -0.031 2.425 1.524 4.132" Properties=species:S:1:pos:R:3 pbc="T T T"
H 0.268 2.805 2.280
H -0.268 3.123 1.821
Te 0.000 0.000 0.000
Hg 2.514 1.471 1.041
Hg 2.514 4.435 3.091
```

Properties
The value obtained for the calculated density is 9.68 g/cm³. For the total energy, the calculation gives -2.179 eV/atom.

***

Entry 4:
Density functional theory data (PBEsol) for a relaxed As4IrPt crystal.

Cell and atoms, written as extended XYZ:
```
6
Lattice="5.260 0.000 0.000 2.630 4.555 0.000 2.630 1.518 4.294" Properties=species:S:1:pos:R:3 pbc="T T T"
As 6.574 3.795 2.684
As 5.260 1.520 2.684
As 3.946 3.795 2.684
As 5.260 3.037 0.538
Ir 2.630 1.518 1.074
Pt 0.000 0.000 0.000
```

Properties
The value obtained for the calculated density is 11.09 g/cm³. The formation energy comes out at 872.8 meV/atom.

***

Entry 5:
Density functional theory data (PBEsol) for a relaxed TcOs2W crystal.

Cell and atoms, written as extended XYZ:
```
4
Lattice="3.860 0.000 0.000 0.000 3.864 0.000 0.000 0.000 3.864" Properties=species:S:1:pos:R:3 pbc="T T T"
Os 0.000 0.000 1.932
Os 0.000 1.932 0.000
Tc 1.930 1.932 1.932
W 1.930 0.000 0.000
```

Properties
The excess energy over the best structure of this formula in the dataset comes out at 0 meV/atom. The value obtained for the calculated density is 19.08 g/cm³. The formation energy comes out at 24.4 meV/atom.

***

Entry 6:
Density functional theory data (PBEsol) for a relaxed ZrAg2P crystal.

Cell and atoms, written as extended XYZ:
```
4
Lattice="3.662 0.000 0.000 0.000 3.662 0.000 0.000 0.000 5.321" Properties=species:S:1:pos:R:3 pbc="T T T"
Ag 0.000 0.000 4.014
Ag 0.000 0.000 1.307
P 1.831 1.831 0.000
Zr 1.831 1.831 2.660
```

Properties
The value obtained for the calculated density is 7.86 g/cm³. The formation energy comes out at -65.6 meV/atom.

***

Entry 7:
Density functional theory data (PBEsol) for a relaxed In2HgBi2 crystal.

Cell and atoms, written as extended XYZ:
```
10
Lattice="-0.702 0.640 3.466 4.202 -7.606 2.255 7.737 4.493 0.738" Properties=species:S:1:pos:R:3 pbc="T T T"
In 5.218 2.123 2.528
In 8.984 -0.714 3.814
In 6.019 -4.596 3.930
In 2.254 -1.760 2.644
Bi 7.974 1.176 1.398
Bi 8.623 -3.470 2.387
Bi 3.966 -4.289 1.595
Bi 3.317 0.357 0.606
Hg 0.000 0.000 0.000
Hg 5.970 -1.556 1.496
```

Properties
The excess energy over the best structure of this formula in the dataset comes out at 0 meV/atom. The value obtained for the calculated density is 9.73 g/cm³. The formation energy comes out at 74.4 meV/atom.

***

Entry 8:
Density functional theory data (PBEsol) for a relaxed MgAl2As crystal.

Cell and atoms, written as extended XYZ:
```
4
Lattice="3.511 0.000 0.000 0.000 3.509 0.000 0.000 0.000 5.884" Properties=species:S:1:pos:R:3 pbc="T T T"
Mg 1.756 1.755 2.942
As 1.756 1.755 0.000
Al 0.000 0.000 4.528
Al 0.000 0.000 1.356
```

Properties
The excess energy over the best structure of this formula in the dataset comes out at 0 meV/atom. The value obtained for the calculated density is 3.51 g/cm³. The formation energy comes out at 23.3 meV/atom.

***

Repeat the seventh record exactly.
Density functional theory data (PBEsol) for a relaxed In2HgBi2 crystal.

Cell and atoms, written as extended XYZ:
```
10
Lattice="-0.702 0.640 3.466 4.202 -7.606 2.255 7.737 4.493 0.738" Properties=species:S:1:pos:R:3 pbc="T T T"
In 5.218 2.123 2.528
In 8.984 -0.714 3.814
In 6.019 -4.596 3.930
In 2.254 -1.760 2.644
Bi 7.974 1.176 1.398
Bi 8.623 -3.470 2.387
Bi 3.966 -4.289 1.595
Bi 3.317 0.357 0.606
Hg 0.000 0.000 0.000
Hg 5.970 -1.556 1.496
```

Properties
The excess energy over the best structure of this formula in the dataset comes out at 0 meV/atom. The value obtained for the calculated density is 9.73 g/cm³. The formation energy comes out at 74.4 meV/atom.